{"formula": "Zr2TaFe", "functional": "PBE-GGA", "state": "optimized geometry", "de_polymorph_kj_per_mol_fu": 178, "space_group": "I-42d", "delta_e_f_ev_per_atom": 0.4194, "energy_ev_per_fu": -35.73, "lattice": [[-3.7128, 3.7128, 2.7849], [3.7128, -3.7128, 2.7849], [3.7128, 3.7128, -2.7849]], "species": ["Zr", "Zr", "Zr", "Zr", "Ta", "Ta", "Fe", "Fe"], "fractional_positions": [[0.0790, 0.6250, 0.9540], [0.3750, 0.3290, 0.4540], [0.6710, 0.1250, 0.0460], [0.8750, 0.9210, 0.5460], [0.2500, 0.7500, 0.5000], [0.5000, 0.5000, 0.0000], [0.0000, 0.0000, 0.0000], [0.7500, 0.2500, 0.5000]]}